Computed, not measured: SrCePd2 after structural relaxation at the PBE level of DFT.

a b c (Å): 7.2925 7.2925 7.2925
angles (deg): 90.00 90.00 90.00
Space group Fm-3m (No. 225)
Asymmetric unit:
Sr  0.0000  0.0000  0.0000 (multiplicity 4)
Ce  0.0000  0.0000  0.5000 (multiplicity 4)
Pd  0.2500  0.2500  0.2500 (multiplicity 8)

Energy of formation from the pure elements ... -0.542 eV/atom
Energy relative to the lowest polymorph listed for this composition ... 8.88 kJ per mole of atoms

***

Computed, not measured: Sr3YAl after structural relaxation at the PBE level of DFT.

a b c (Å): 6.3673 6.3673 6.3673
angles (deg): 90.00 90.00 90.00
Space group Pm-3m (No. 221)
Asymmetric unit:
Sr  0.0000  0.0000  0.5000 (multiplicity 3)
Y  0.0000  0.0000  0.0000 (multiplicity 1)
Al  0.5000  0.5000  0.5000 (multiplicity 1)

Energy of formation from the pure elements ... 0.984 eV/atom
Energy relative to the lowest polymorph listed for this composition ... 57.72 kJ per mole of atoms

***

Computed, not measured: BaTmInCl6 after structural relaxation at the PBE level of DFT.

a b c (Å): 7.6169 7.6169 12.8255
angles (deg): 90.00 90.00 120.00
Space group P-31c (No. 163)
Asymmetric unit:
Ba  0.3333  0.6667  0.2500 (multiplicity 2)
Tm  0.3333  0.6667  0.7500 (multiplicity 2)
In  0.0000  0.0000  0.0000 (multiplicity 2)
Cl  0.0469  0.3868  0.6338 (multiplicity 12)

Formation energy without anion corrections ... -2.04 eV per atom

***

Computed, not measured: PaCrAu2 after structural relaxation at the PBE level of DFT.

a b c (Å): 6.9337 6.9337 6.9337
angles (deg): 90.00 90.00 90.00
Space group Fm-3m (No. 225)
Asymmetric unit:
Pa  0.0000  0.0000  0.0000 (multiplicity 4)
Cr  0.0000  0.0000  0.5000 (multiplicity 4)
Au  0.2500  0.2500  0.2500 (multiplicity 8)

Energy of formation from the pure elements ... -0.066 eV/atom

***

Computed, not measured: Pm2CuPd4 after structural relaxation at the PBE level of DFT.

a b c (Å): 8.0975 8.7067 8.7270
angles (deg): 90.00 90.00 90.00
Space group Fmmm (No. 69)
Asymmetric unit:
Pm  0.2500  0.2500  0.2500 (multiplicity 8)
Cu  0.0000  0.0000  0.0000 (multiplicity 4)
Pd  0.0000  0.0000  0.2825 (multiplicity 8)
Pd  0.0000  0.2168  0.5000 (multiplicity 8)

Energy of formation from the pure elements ... -0.465 eV/atom

***

Computed, not measured: Tm2NpH8 after structural relaxation at the PBE level of DFT.

a b c (Å): 3.5477 5.2370 10.6788
angles (deg): 90.00 90.00 90.00
Space group Immm (No. 71)
Asymmetric unit:
Tm  0.0000  0.0000  0.1682 (multiplicity 4)
Np  0.0000  0.0000  0.5000 (multiplicity 2)
H  0.0000  0.2237  0.0000 (multiplicity 4)
H  0.0000  0.2616  0.3357 (multiplicity 8)
H  0.0000  0.5000  0.1503 (multiplicity 4)

VASP energy ... -108.6 eV per cell